# TlCrTe2Ru | Alexandria via LeMat-Bulk | PBE | optimized geometry
data_TlCrTe2Ru
_cell_length_a 5.337
_cell_length_b 5.337
_cell_length_c 4.526
_cell_angle_alpha 90.00
_cell_angle_beta 90.00
_cell_angle_gamma 90.00
_symmetry_space_group_name_H-M 'P 4/m m m'
_symmetry_Int_Tables_number 123
_symmetry_space_group_name_Hall '-P 4 2'
loop_
_atom_site_label
_atom_site_fract_x
_atom_site_fract_y
_atom_site_fract_z
Tl1 0.000 0.000 0.000
Cr1 0.500 0.500 0.500
Te1 0.000 0.500 0.500
Ru1 0.500 0.500 0.000
# Final energy, eV/atom: -4.852
# E_form (uncorrected), eV per atom: 0.658